! LaEr3Mg, relaxed, DFT PBE-GGA; values from VASP
! Total moment ... 0.000 μB/f.u.
! Formation enthalpy at 0 K ... -0.01 eV/atom
&SYSTEM
  ibrav = 0, nat = 10, ntyp = 3
/
ATOMIC_SPECIES
La 138.91 La.upf
Er 167.26 Er.upf
Mg 24.30 Mg.upf
CELL_PARAMETERS angstrom
3.699 0.000 0.000
1.848 6.561 0.000
0.007 0.844 12.627
ATOMIC_POSITIONS crystal
La 0.237 0.025 0.257
La 0.763 0.975 0.743
Er 0.035 0.429 0.686
Er 0.150 0.201 0.946
Er 0.368 0.765 0.523
Er 0.632 0.235 0.477
Er 0.850 0.799 0.054
Er 0.965 0.571 0.314
Mg 0.450 0.601 0.876
Mg 0.550 0.399 0.124


! La15Er4Mg, relaxed, DFT PBE-GGA; values from VASP
! Total moment ... 0.000 μB/f.u.
! Formation enthalpy at 0 K ... 0.00 eV/atom
&SYSTEM
  ibrav = 0, nat = 20, ntyp = 3
/
ATOMIC_SPECIES
La 138.91 La.upf
Er 167.26 Er.upf
Mg 24.30 Mg.upf
CELL_PARAMETERS angstrom
5.182 0.000 0.000
0.000 5.182 0.000
0.000 0.000 25.974
ATOMIC_POSITIONS crystal
La 0.000 0.000 0.000
La 0.000 0.000 0.198
La 0.000 0.000 0.399
La 0.000 0.000 0.601
La 0.000 0.000 0.802
La 0.000 0.500 0.099
La 0.000 0.500 0.299
La 0.000 0.500 0.500
La 0.000 0.500 0.701
La 0.000 0.500 0.901
La 0.500 0.000 0.099
La 0.500 0.000 0.299
La 0.500 0.000 0.500
La 0.500 0.000 0.701
La 0.500 0.000 0.901
Er 0.500 0.500 0.198
Er 0.500 0.500 0.400
Er 0.500 0.500 0.600
Er 0.500 0.500 0.802
Mg 0.500 0.500 0.000


In order of appearance, Fermi-level density of states = 1.299 1.160 states/eV per atom.
In order of appearance, VASP energy = -4.05 -4.69 eV per atom.